# 1
DFT (GGA-PBE) results for crystalline Er2CoSi at its relaxed geometry.

Computed properties:
- E: -5.968 eV/atom
- Uncorrected formation energy: -0.55 eV/atom

Geometry as CIF:
```
data_Er2CoSi
_chemical_formula_sum 'Er4 Co2 Si2'
_space_group_name_H-M_alt 'A m m 2'
_space_group_IT_number 38
_space_group_name_Hall 'A 2 -2'
_cell_length_a 3.8980
_cell_length_b 4.0586
_cell_length_c 10.2981
_cell_angle_alpha 90.00
_cell_angle_beta 90.00
_cell_angle_gamma 90.00
loop_
_atom_site_label
_atom_site_type_symbol
_atom_site_fract_x
_atom_site_fract_y
_atom_site_fract_z
_atom_site_occupancy
Er1 Er 0.0000 0.0000 0.0000 1
Er2 Er 0.5000 0.0000 0.2828 1
Co1 Co 0.5000 0.0000 0.5704 1
Si1 Si 0.0000 0.0000 0.7034 1
```


# 2
DFT (GGA-PBE) results for crystalline SrCrSe2 at its relaxed geometry.

Computed properties:
- E: -5.385 eV/atom
- Uncorrected formation energy: -0.82 eV/atom

Geometry as CIF:
```
data_SrCrSe2
_chemical_formula_sum 'Sr2 Cr2 Se4'
_space_group_name_H-M_alt 'C m m m'
_space_group_IT_number 65
_space_group_name_Hall '-C 2 2'
_cell_length_a 4.0083
_cell_length_b 7.4732
_cell_length_c 7.5842
_cell_angle_alpha 90.00
_cell_angle_beta 90.00
_cell_angle_gamma 90.00
loop_
_atom_site_label
_atom_site_type_symbol
_atom_site_fract_x
_atom_site_fract_y
_atom_site_fract_z
_atom_site_occupancy
Sr1 Sr 0.0000 0.0000 0.0000 1
Cr1 Cr 0.0000 0.0000 0.5000 1
Se1 Se 0.0000 0.5000 0.2846 1
```


# 3
DFT (GGA-PBE) results for crystalline La6As5Br at its relaxed geometry.

Computed properties:
- E: -6.155 eV/atom
- Uncorrected formation energy: -1.61 eV/atom

Geometry as CIF:
```
data_La6As5Br
_chemical_formula_sum 'La12 As10 Br2'
_space_group_name_H-M_alt 'C 1 2/m 1'
_space_group_IT_number 12
_space_group_name_Hall '-C 2y'
_cell_length_a 7.5849
_cell_length_b 13.1213
_cell_length_c 7.5630
_cell_angle_alpha 90.00
_cell_angle_beta 109.50
_cell_angle_gamma 90.00
loop_
_atom_site_label
_atom_site_type_symbol
_atom_site_fract_x
_atom_site_fract_y
_atom_site_fract_z
_atom_site_occupancy
La1 La 0.2389 0.0000 0.2577 1
La2 La 0.2402 0.1736 0.7424 1
As1 As 0.0000 0.0000 0.5000 1
As2 As 0.0000 0.1673 0.0000 1
As3 As 0.0000 0.3370 0.5000 1
Br1 Br 0.0000 0.5000 0.0000 1
```


# 4
DFT (GGA-PBE) results for crystalline TcWAu2 at its relaxed geometry.

Computed properties:
- E: -7.202 eV/atom
- Formation energy from the elements: 266.9 meV/atom

Geometry as CIF:
```
data_TcWAu2
_chemical_formula_sum 'Tc3 W3 Au6'
_space_group_name_H-M_alt 'R 3 m'
_space_group_IT_number 160
_space_group_name_Hall 'R 3 -2"'
_cell_length_a 2.8883
_cell_length_b 2.8883
_cell_length_c 27.9409
_cell_angle_alpha 90.00
_cell_angle_beta 90.00
_cell_angle_gamma 120.00
loop_
_atom_site_label
_atom_site_type_symbol
_atom_site_fract_x
_atom_site_fract_y
_atom_site_fract_z
_atom_site_occupancy
Tc1 Tc 0.0000 0.0000 0.0000 1
W1 W 0.0000 0.0000 0.2605 1
Au1 Au 0.0000 0.0000 0.5082 1
Au2 Au 0.0000 0.0000 0.7528 1
```


# 5
DFT (GGA-PBE) results for crystalline Ac2TmAg at its relaxed geometry.

Computed properties:
- E: -3.957 eV/atom
- Formation energy from the elements: -72.5 meV/atom

Geometry as CIF:
```
data_Ac2TmAg
_chemical_formula_sum 'Ac2 Tm1 Ag1'
_space_group_name_H-M_alt 'P 4/m m m'
_space_group_IT_number 123
_space_group_name_Hall '-P 4 2'
_cell_length_a 3.9673
_cell_length_b 3.9673
_cell_length_c 8.7812
_cell_angle_alpha 90.00
_cell_angle_beta 90.00
_cell_angle_gamma 90.00
loop_
_atom_site_label
_atom_site_type_symbol
_atom_site_fract_x
_atom_site_fract_y
_atom_site_fract_z
_atom_site_occupancy
Ac1 Ac 0.0000 0.0000 0.2244 1
Tm1 Tm 0.5000 0.5000 0.5000 1
Ag1 Ag 0.5000 0.5000 0.0000 1
```


# 6
DFT (GGA-PBE) results for crystalline TlCo2Sb at its relaxed geometry.

Computed properties:
- E: -4.731 eV/atom
- Uncorrected formation energy: 0.44 eV/atom

Geometry as CIF:
```
data_TlCo2Sb
_chemical_formula_sum 'Tl4 Co8 Sb4'
_space_group_name_H-M_alt 'F m -3 m'
_space_group_IT_number 225
_space_group_name_Hall '-F 4 2 3'
_cell_length_a 6.4230
_cell_length_b 6.4230
_cell_length_c 6.4230
_cell_angle_alpha 90.00
_cell_angle_beta 90.00
_cell_angle_gamma 90.00
loop_
_atom_site_label
_atom_site_type_symbol
_atom_site_fract_x
_atom_site_fract_y
_atom_site_fract_z
_atom_site_occupancy
Tl1 Tl 0.0000 0.0000 0.0000 1
Co1 Co 0.2500 0.2500 0.2500 1
Sb1 Sb 0.0000 0.0000 0.5000 1
```


# 7
DFT (GGA-PBE) results for crystalline KPH2SO3 at its relaxed geometry.

Computed properties:
- E: -5.549 eV/atom

Geometry as CIF:
```
data_KPH2SO3
_chemical_formula_sum 'K2 P2 H4 S2 O6'
_space_group_name_H-M_alt 'C 1 m 1'
_space_group_IT_number 8
_space_group_name_Hall 'C -2y'
_cell_length_a 6.6448
_cell_length_b 6.3513
_cell_length_c 6.0654
_cell_angle_alpha 90.00
_cell_angle_beta 109.41
_cell_angle_gamma 90.00
loop_
_atom_site_label
_atom_site_type_symbol
_atom_site_fract_x
_atom_site_fract_y
_atom_site_fract_z
_atom_site_occupancy
K1 K 0.0000 0.0000 0.0000 1
P1 P 0.0040 0.5000 0.4957 1
H1 H 0.1800 0.1893 0.5748 1
S1 S 0.0391 0.5000 0.1837 1
O1 O 0.1174 0.3046 0.6542 1
O2 O 0.2689 0.0000 0.4880 1
```


# 8
DFT (GGA-PBE) results for crystalline Tm2TiCdO6 at its relaxed geometry.

Computed properties:
- E: -7.477 eV/atom
- Uncorrected formation energy: -2.73 eV/atom

Geometry as CIF:
```
data_Tm2TiCdO6
_chemical_formula_sum 'Tm2 Ti1 Cd1 O6'
_space_group_name_H-M_alt 'P 4 m m'
_space_group_IT_number 99
_space_group_name_Hall 'P 4 -2'
_cell_length_a 5.2282
_cell_length_b 5.2282
_cell_length_c 5.2732
_cell_angle_alpha 90.00
_cell_angle_beta 90.00
_cell_angle_gamma 90.00
loop_
_atom_site_label
_atom_site_type_symbol
_atom_site_fract_x
_atom_site_fract_y
_atom_site_fract_z
_atom_site_occupancy
Tm1 Tm 0.0000 0.5000 0.0000 1
Ti1 Ti 0.0000 0.0000 0.6259 1
Cd1 Cd 0.5000 0.5000 0.5539 1
O1 O 0.0000 0.0000 0.2765 1
O2 O 0.2370 0.2370 0.7755 1
O3 O 0.5000 0.5000 0.1590 1
```


| no. | calculated volume (Å³/atom) | total moment (μB per cell) |
| --- | --- | --- |
| 1 | 20.4 | 0.00 |
| 2 | 28.4 | 8.00 |
| 3 | 29.6 | 0.00 |
| 4 | 16.8 | 0.00 |
| 5 | 34.6 | 0.00 |
| 6 | 16.6 | 7.39 |
| 7 | 15.1 | 0.00 |
| 8 | 14.4 | 0.00 |